Density functional theory data (GGA+U) for TaW3F after structural relaxation.

extended XYZ file:
```
5
Lattice="5.026 0.000 0.000 0.000 5.026 0.000 0.000 0.000 5.026" Properties=species:S:1:pos:R:3 pbc="T T T"
F 2.513 2.513 2.513
W 0.000 2.513 0.000
W 0.000 0.000 2.513
W 2.513 0.000 0.000
Ta 0.000 0.000 0.000
```

Calculated values
Raw total energy: -4.7422 eV/atom